Density functional theory data (PBE) for an optimized crystal structure of ZrMnCdB2.

Cell lengths 4.3195, 5.3383, 4.3195 Å; angles 90.00, 90.00, 90.00 degrees
Atoms (fractional coordinates):
B 0.0000 0.0000 0.5000
B 0.5000 0.0000 0.0000
Mn 0.5000 0.5000 0.5000
Zr 0.0000 0.0000 0.0000
Cd 0.0000 0.5000 0.0000

Summary:
Its formation energy is 202.7 kJ/mol of atoms. The calculated total energy is -4.297 eV per atom.


Density functional theory data (PBE) for an optimized crystal structure of Zr2MnCdB.

Cell lengths 4.6099, 4.2626, 4.6099 Å; angles 90.00, 90.00, 90.00 degrees
Atoms (fractional coordinates):
B 0.0000 0.0000 0.0000
Mn 0.5000 0.5000 0.5000
Zr 0.0000 0.0000 0.5000
Zr 0.5000 0.0000 0.0000
Cd 0.0000 0.5000 0.0000

Summary:
Its formation energy is 43.0 kJ/mol of atoms. The calculated total energy is -6.326 eV per atom.